1.
Entry from Alexandria: a relaxed LiCaHg2 crystal (PBE).

Results
Space group = F-43m, No. 216
Theoretical density = 8.18 g/cm3
Energy relative to the elements = -0.360 eV/atom

Cell: 5.048 5.048 5.048 Å, 60.00 60.00 60.00°
Element x y z (fractional)
1 Hg 0.000 0.000 0.000
2 Li 0.750 0.750 0.750
3 Ca 0.500 0.500 0.500
4 Hg 0.250 0.250 0.250


2.
Entry from Alexandria: a relaxed Li2Ca2Hg crystal (PBE).

Results
Space group = C2/m, No. 12
Theoretical density = 3.56 g/cm3
Energy relative to the lowest polymorph listed for this composition = 0.000 eV/f.u.
Energy relative to the elements = -0.219 eV/atom

Cell: 4.788 6.215 10.296 Å, 86.05 76.56 67.35°
Element x y z (fractional)
1 Hg 0.612 0.115 0.662
2 Ca 0.678 0.314 0.330
3 Li 0.891 0.763 0.456
4 Ca 0.922 0.277 0.880
5 Li 0.109 0.237 0.544
6 Ca 0.322 0.686 0.670
7 Li 0.371 0.144 0.113
8 Li 0.629 0.856 0.887
9 Ca 0.078 0.723 0.120
10 Hg 0.388 0.885 0.338


3.
Entry from Alexandria: a relaxed Li7Ca3Hg2 crystal (PBE).

Results
Space group = R-3m, No. 166
Theoretical density = 3.23 g/cm3
Energy relative to the elements = -0.172 eV/atom

Cell: 5.915 5.915 10.260 Å, 73.25 73.25 60.00°
Element x y z (fractional)
1 Li 0.077 0.578 0.766
2 Li 0.578 0.578 0.766
3 Ca 0.000 0.000 0.000
4 Li 0.578 0.077 0.766
5 Ca 0.858 0.858 0.425
6 Li 0.422 0.923 0.234
7 Li 0.500 0.500 0.500
8 Ca 0.142 0.142 0.575
9 Hg 0.333 0.333 0.000
10 Li 0.422 0.422 0.234
11 Li 0.923 0.422 0.234
12 Hg 0.667 0.667 0.000


4.
Entry from Alexandria: a relaxed Li4CaHg5 crystal (PBE).

Results
Space group = P4/mmm, No. 123
Theoretical density = 8.78 g/cm3
Energy relative to the elements = -0.396 eV/atom

Cell: 3.472 3.472 16.807 Å, 90.00 90.00 90.00°
Element x y z (fractional)
1 Hg 0.500 0.500 0.874
2 Li 0.000 0.000 0.219
3 Hg 0.500 0.500 0.500
4 Li 0.000 0.000 0.593
5 Hg 0.500 0.500 0.126
6 Hg 0.500 0.500 0.311
7 Li 0.000 0.000 0.407
8 Li 0.000 0.000 0.781
9 Ca 0.000 0.000 0.000
10 Hg 0.500 0.500 0.689


5.
Entry from Alexandria: a relaxed LiCaHg2 crystal (PBE).

Results
Space group = Pmm2, No. 25
Theoretical density = 7.52 g/cm3
Energy relative to the elements = -0.342 eV/atom

Cell: 3.867 3.892 6.579 Å, 90.00 90.00 90.00°
Element x y z (fractional)
1 Hg 0.500 0.500 0.291
2 Hg 0.000 0.000 0.002
3 Ca 0.500 0.500 0.774
4 Li 0.000 0.000 0.433


6.
Entry from Alexandria: a relaxed LiCaHg2 crystal (PBE).

Results
Space group = Imm2, No. 44
Theoretical density = 7.90 g/cm3
Energy relative to the elements = -0.367 eV/atom

Cell: 5.561 5.561 5.561 Å, 134.91 127.79 71.41°
Element x y z (fractional)
1 Ca 0.748 0.248 0.500
2 Li 0.479 0.479 0.000
3 Hg 0.011 0.011 0.000
4 Hg 0.262 0.762 0.500


7.
Entry from Alexandria: a relaxed LiCaHg3 crystal (PBE).

Results
Space group = Pm-3m, No. 221
Theoretical density = 5.31 g/cm3
Energy relative to the lowest polymorph listed for this composition = 2.675 eV/f.u.
Energy relative to the elements = 0.165 eV/atom

Cell: 5.875 5.875 5.875 Å, 90.00 90.00 90.00°
Element x y z (fractional)
1 Hg 0.500 0.000 0.000
2 Hg 0.000 0.500 0.000
3 Ca 0.000 0.000 0.000
4 Hg 0.000 0.000 0.500
5 Li 0.500 0.500 0.500


8.
Entry from Alexandria: a relaxed Li15Ca6Hg8 crystal (PBE).

Results
Space group = Fm-3m, No. 225
Theoretical density = 4.94 g/cm3
Energy relative to the elements = -0.288 eV/atom

Cell: 9.746 9.746 9.746 Å, 60.00 60.00 60.00°
Element x y z (fractional)
1 Li 0.000 0.000 0.500
2 Ca 0.278 0.722 0.278
3 Hg 0.872 0.385 0.872
4 Li 0.500 0.000 0.500
5 Hg 0.872 0.872 0.385
6 Hg 0.872 0.872 0.872
7 Ca 0.278 0.278 0.722
8 Li 0.675 0.974 0.675
9 Li 0.675 0.675 0.974
10 Hg 0.128 0.128 0.128
11 Hg 0.615 0.128 0.128
12 Li 0.500 0.500 0.000
13 Li 0.325 0.325 0.026
14 Hg 0.128 0.615 0.128
15 Ca 0.722 0.278 0.278
16 Ca 0.722 0.722 0.278
17 Li 0.000 0.000 0.000
18 Hg 0.128 0.128 0.615
19 Li 0.325 0.325 0.325
20 Li 0.675 0.675 0.675
21 Hg 0.385 0.872 0.872
22 Li 0.325 0.026 0.325
23 Li 0.500 0.000 0.000
24 Ca 0.278 0.722 0.722
25 Ca 0.722 0.278 0.722
26 Li 0.026 0.325 0.325
27 Li 0.974 0.675 0.675
28 Li 0.000 0.500 0.500
29 Li 0.000 0.500 0.000


9.
Entry from Alexandria: a relaxed Li6CaHg12 crystal (PBE).

Results
Space group = R-3, No. 148
Theoretical density = 10.00 g/cm3
Energy relative to the lowest polymorph listed for this composition = 0.000 eV/f.u.
Energy relative to the elements = -0.285 eV/atom

Cell: 7.939 8.192 8.192 Å, 69.91 71.15 108.85°
Element x y z (fractional)
1 Li 0.660 0.221 0.291
2 Hg 0.487 0.142 0.718
3 Li 0.951 0.291 0.489
4 Hg 0.256 0.438 0.617
5 Hg 0.182 0.056 0.562
6 Li 0.340 0.779 0.709
7 Li 0.439 0.489 0.221
8 Hg 0.795 0.282 0.860
9 Hg 0.655 0.860 0.858
10 Hg 0.127 0.383 0.056
11 Hg 0.513 0.858 0.282
12 Li 0.049 0.709 0.511
13 Ca 0.000 0.000 0.000
14 Hg 0.205 0.718 0.140
15 Li 0.561 0.511 0.779
16 Hg 0.744 0.562 0.383
17 Hg 0.345 0.140 0.142
18 Hg 0.818 0.944 0.438
19 Hg 0.873 0.617 0.944


10.
Entry from Alexandria: a relaxed Li2Ca2Hg crystal (PBE).

Results
Space group = Immm, No. 71
Theoretical density = 3.69 g/cm3
Energy relative to the lowest polymorph listed for this composition = 0.043 eV/f.u.
Energy relative to the elements = -0.211 eV/atom

Cell: 5.578 4.892 6.117 Å, 66.43 62.87 90.00°
Element x y z (fractional)
1 Ca 0.306 0.806 0.388
2 Li 0.247 0.500 0.000
3 Hg 0.000 0.000 0.000
4 Li 0.753 0.500 0.000
5 Ca 0.694 0.194 0.612


11.
Entry from Alexandria: a relaxed LiCa4Hg3 crystal (PBE).

Results
Space group = R-3m, No. 166
Theoretical density = 5.77 g/cm3
Energy relative to the elements = -0.440 eV/atom

Cell: 5.387 5.387 9.334 Å, 73.23 73.23 60.00°
Element x y z (fractional)
1 Hg 0.745 0.745 0.766
2 Hg 0.255 0.255 0.234
3 Ca 0.379 0.379 0.864
4 Ca 0.872 0.872 0.385
5 Ca 0.621 0.621 0.136
6 Li 0.000 0.000 0.000
7 Ca 0.128 0.128 0.615
8 Hg 0.500 0.500 0.500


12.
Entry from Alexandria: a relaxed LiCa2Hg6 crystal (PBE).

Results
Space group = C2/m, No. 12
Theoretical density = 9.60 g/cm3
Energy relative to the lowest polymorph listed for this composition = 0.000 eV/f.u.
Energy relative to the elements = -0.364 eV/atom

Cell: 5.820 6.659 6.659 Å, 59.95 89.91 89.91°
Element x y z (fractional)
1 Ca 0.824 0.666 0.666
2 Li 0.000 0.000 0.000
3 Hg 0.299 0.824 0.353
4 Hg 0.299 0.823 0.823
5 Hg 0.701 0.176 0.647
6 Hg 0.701 0.177 0.177
7 Ca 0.176 0.334 0.334
8 Hg 0.701 0.647 0.176
9 Hg 0.299 0.353 0.824


13.
Entry from Alexandria: a relaxed LiCa2Hg6 crystal (PBE).

Results
Space group = C2/m, No. 12
Theoretical density = 9.48 g/cm3
Energy relative to the lowest polymorph listed for this composition = 0.038 eV/f.u.
Energy relative to the elements = -0.359 eV/atom

Cell: 3.506 8.630 8.630 Å, 60.03 89.91 89.91°
Element x y z (fractional)
1 Hg 0.500 0.671 0.329
2 Ca 0.000 0.333 0.333
3 Hg 0.501 0.329 0.000
4 Hg 0.499 0.671 0.000
5 Li 0.000 0.000 0.000
6 Hg 0.500 0.329 0.671
7 Hg 0.501 0.000 0.329
8 Hg 0.499 0.000 0.671
9 Ca 0.000 0.667 0.667


14.
Entry from Alexandria: a relaxed LiCa2Hg crystal (PBE).

Results
Space group = I-4m2, No. 119
Theoretical density = 4.21 g/cm3
Energy relative to the elements = -0.195 eV/atom

Cell: 6.177 6.177 6.177 Å, 135.68 135.68 64.47°
Element x y z (fractional)
1 Li 0.750 0.250 0.500
2 Hg 0.500 0.500 0.000
3 Ca 0.000 0.000 0.000
4 Ca 0.250 0.750 0.500


15.
Entry from Alexandria: a relaxed LiCaHg4 crystal (PBE).

Results
Space group = Cmcm, No. 63
Theoretical density = 9.51 g/cm3
Energy relative to the lowest polymorph listed for this composition = 0.304 eV/f.u.
Energy relative to the elements = -0.299 eV/atom

Cell: 5.122 7.636 8.005 Å, 90.00 108.66 90.00°
Element x y z (fractional)
1 Hg 0.782 0.564 0.563
2 Ca 0.618 0.250 0.236
3 Ca 0.382 0.750 0.764
4 Hg 0.000 0.000 0.000
5 Li 0.142 0.750 0.284
6 Hg 0.417 0.250 0.833
7 Hg 0.000 0.500 0.000
8 Hg 0.583 0.750 0.167
9 Hg 0.218 0.436 0.437
10 Hg 0.218 0.064 0.437
11 Li 0.858 0.250 0.716
12 Hg 0.782 0.936 0.563


16.
Entry from Alexandria: a relaxed LiCa3Hg4 crystal (PBE).

Results
Space group = R-3m, No. 166
Theoretical density = 7.53 g/cm3
Energy relative to the elements = -0.473 eV/atom

Cell: 5.257 5.257 9.089 Å, 73.19 73.19 60.00°
Element x y z (fractional)
1 Ca 0.747 0.747 0.758
2 Ca 0.253 0.253 0.242
3 Ca 0.500 0.500 0.500
4 Li 0.000 0.000 0.000
5 Hg 0.375 0.375 0.876
6 Hg 0.625 0.625 0.124
7 Hg 0.878 0.878 0.365
8 Hg 0.122 0.122 0.635


17.
Entry from Alexandria: a relaxed Li6CaHg crystal (PBE).

Results
Space group = P4/mmm, No. 123
Theoretical density = 2.43 g/cm3
Energy relative to the lowest polymorph listed for this composition = 0.570 eV/f.u.
Energy relative to the elements = -0.019 eV/atom

Cell: 4.457 4.457 9.718 Å, 90.00 90.00 90.00°
Element x y z (fractional)
1 Hg 0.000 0.000 0.500
2 Li 0.000 0.500 0.332
3 Ca 0.000 0.000 0.000
4 Li 0.000 0.500 0.668
5 Li 0.500 0.500 0.140
6 Li 0.500 0.000 0.668
7 Li 0.500 0.500 0.860
8 Li 0.500 0.000 0.332


18.
Entry from Alexandria: a relaxed LiCa2Hg crystal (PBE).

Results
Space group = R3m, No. 160
Theoretical density = 3.78 g/cm3
Energy relative to the elements = -0.161 eV/atom

Cell: 8.760 8.760 8.760 Å, 27.48 27.48 27.48°
Element x y z (fractional)
1 Ca 0.021 0.021 0.021
2 Hg 0.477 0.477 0.477
3 Ca 0.227 0.227 0.227
4 Li 0.775 0.775 0.775


19.
Entry from Alexandria: a relaxed Li2Ca2Hg crystal (PBE).

Results
Space group = P4/mbm, No. 127
Theoretical density = 3.64 g/cm3
Energy relative to the lowest polymorph listed for this composition = 0.337 eV/f.u.
Energy relative to the elements = -0.152 eV/atom

Cell: 7.353 7.353 4.975 Å, 90.00 90.00 90.00°
Element x y z (fractional)
1 Ca 0.315 0.185 0.500
2 Li 0.132 0.368 0.000
3 Li 0.368 0.868 0.000
4 Hg 0.500 0.500 0.000
5 Hg 0.000 0.000 0.000
6 Ca 0.185 0.685 0.500
7 Ca 0.815 0.315 0.500
8 Li 0.868 0.632 0.000
9 Li 0.632 0.132 0.000
10 Ca 0.685 0.815 0.500


20.
Entry from Alexandria: a relaxed Li3Ca3Hg2 crystal (PBE).

Results
Space group = Pnma, No. 62
Theoretical density = 4.22 g/cm3
Energy relative to the elements = -0.298 eV/atom

Cell: 6.071 8.336 16.864 Å, 90.00 90.00 90.00°
Element x y z (fractional)
1 Ca 0.142 0.167 0.750
2 Ca 0.616 0.032 0.892
3 Ca 0.884 0.532 0.608
4 Li 0.132 0.172 0.250
5 Li 0.404 0.673 0.534
6 Ca 0.116 0.468 0.108
7 Ca 0.858 0.833 0.250
8 Li 0.096 0.173 0.534
9 Ca 0.884 0.532 0.892
10 Li 0.904 0.827 0.034
11 Li 0.868 0.828 0.750
12 Hg 0.618 0.618 0.112
13 Hg 0.118 0.882 0.888
14 Ca 0.384 0.968 0.108
15 Ca 0.116 0.468 0.392
16 Li 0.368 0.672 0.250
17 Li 0.632 0.328 0.750
18 Hg 0.882 0.118 0.112
19 Li 0.596 0.327 0.466
20 Li 0.096 0.173 0.966
21 Ca 0.358 0.667 0.750
22 Li 0.404 0.673 0.966
23 Ca 0.642 0.333 0.250
24 Li 0.596 0.327 0.034
25 Ca 0.384 0.968 0.392
26 Ca 0.616 0.032 0.608
27 Hg 0.618 0.618 0.388
28 Hg 0.118 0.882 0.612
29 Hg 0.382 0.382 0.612
30 Hg 0.382 0.382 0.888
31 Hg 0.882 0.118 0.388
32 Li 0.904 0.827 0.466


21.
Entry from Alexandria: a relaxed Li15Ca2Hg2 crystal (PBE).

Results
Space group = R-3m, No. 166
Theoretical density = 2.40 g/cm3
Energy relative to the elements = -0.083 eV/atom

Cell: 7.441 7.441 7.441 Å, 83.51 83.51 83.51°
Element x y z (fractional)
1 Li 0.273 0.727 0.000
2 Li 0.000 0.000 0.500
3 Li 0.500 0.000 0.000
4 Li 0.000 0.273 0.727
5 Ca 0.657 0.657 0.657
6 Li 0.134 0.647 0.647
7 Li 0.353 0.353 0.866
8 Li 0.353 0.866 0.353
9 Hg 0.888 0.888 0.888
10 Li 0.727 0.273 0.000
11 Li 0.647 0.134 0.647
12 Ca 0.343 0.343 0.343
13 Li 0.727 0.000 0.273
14 Li 0.273 0.000 0.727
15 Li 0.000 0.500 0.000
16 Li 0.866 0.353 0.353
17 Li 0.000 0.727 0.273
18 Li 0.647 0.647 0.134
19 Hg 0.112 0.112 0.112


22.
Entry from Alexandria: a relaxed Li2Ca2Hg crystal (PBE).

Results
Space group = I4/mmm, No. 139
Theoretical density = 3.50 g/cm3
Energy relative to the lowest polymorph listed for this composition = 0.309 eV/f.u.
Energy relative to the elements = -0.158 eV/atom

Cell: 3.845 3.845 9.824 Å, 78.71 78.71 90.00°
Element x y z (fractional)
1 Li 0.250 0.750 0.500
2 Li 0.750 0.250 0.500
3 Hg 0.000 0.000 0.000
4 Ca 0.403 0.403 0.194
5 Ca 0.597 0.597 0.806